# 1
# Sm5ZrAs6, relaxed, DFT PBE-GGA
# Uncorrected energy: -6.4585 eV per atom
# Formation enthalpy at 0 K: -1.46 eV per atom
data_Sm5ZrAs6
_cell_length_a 7.189
_cell_length_b 12.443
_cell_length_c 7.189
_cell_angle_alpha 90.00
_cell_angle_beta 109.51
_cell_angle_gamma 90.00
_symmetry_space_group_name_H-M 'C 1 2/m 1'
_symmetry_Int_Tables_number 12
_symmetry_space_group_name_Hall '-C 2y'
loop_
_atom_site_label
_atom_site_type_symbol
_atom_site_fract_x
_atom_site_fract_y
_atom_site_fract_z
Sm1 Sm 0.000 0.000 0.000
Sm2 Sm 0.000 0.166 0.500
Sm3 Sm 0.000 0.330 0.000
Zr1 Zr 0.000 0.500 0.500
As1 As 0.239 0.500 0.256
As2 As 0.241 0.339 0.741

---

# 2
# SrGeSe2N, relaxed, DFT PBE-GGA
# Uncorrected energy: -3.5044 eV per atom
# Formation energy (no corrections): 393 kJ/mol of formula units
data_SrGeSe2N
_cell_length_a 5.776
_cell_length_b 5.776
_cell_length_c 4.745
_cell_angle_alpha 90.00
_cell_angle_beta 90.00
_cell_angle_gamma 90.00
_symmetry_space_group_name_H-M 'P 4/m m m'
_symmetry_Int_Tables_number 123
_symmetry_space_group_name_Hall '-P 4 2'
loop_
_atom_site_label
_atom_site_type_symbol
_atom_site_fract_x
_atom_site_fract_y
_atom_site_fract_z
Sr1 Sr 0.000 0.000 0.000
Ge1 Ge 0.500 0.500 0.500
Se1 Se 0.000 0.500 0.000
N1 N 0.000 0.000 0.500

---

# 3
# Ac2Pm13, relaxed, DFT PBE-GGA
# Uncorrected energy: -4.1062 eV per atom
# Formation enthalpy at 0 K: 0.56 eV per atom
data_Ac2Pm13
_cell_length_a 9.6426
_cell_length_b 9.6426
_cell_length_c 22.7319
_cell_angle_alpha 90.00
_cell_angle_beta 90.00
_cell_angle_gamma 120.00
_symmetry_space_group_name_H-M 'R -3 m'
_symmetry_Int_Tables_number 166
_symmetry_space_group_name_Hall '-R 3 2"'
loop_
_atom_site_label
_atom_site_type_symbol
_atom_site_fract_x
_atom_site_fract_y
_atom_site_fract_z
Ac1 Ac 0.0000 0.0000 0.2332
Pm1 Pm 0.0000 0.0000 0.5000
Pm2 Pm 0.1019 0.5510 0.2986
Pm3 Pm 0.1030 0.5515 0.5737